1.
Entry from the Alexandria database: an optimized crystal structure of TiIn2SiSn (PBE).

Unit cell a=5.522 b=5.004 c=5.522 alpha=90.00 beta=90.00 gamma=90.00
Positions (direct):
In 0.000 0.000 0.500
In 0.500 0.000 0.000
Si 0.000 0.500 0.000
Sn 0.000 0.000 0.000
Ti 0.500 0.500 0.500

## Properties
The uncorrected formation energy comes out at 1221 meV/atom. The volume is 30.5 A^3/atom. The value obtained for the final energy is -16.7 eV for the cell shown.



2.
Entry from the Alexandria database: an optimized crystal structure of Sr2InSi2 (PBE).

Unit cell a=4.673 b=3.915 c=7.786 alpha=104.56 beta=90.00 gamma=90.00
Positions (direct):
Sr 0.500 0.369 0.737
Sr 0.500 0.631 0.263
In 0.000 0.000 0.000
Si 0.000 0.796 0.592
Si 0.000 0.204 0.408

## Properties
The uncorrected formation energy comes out at -411 meV/atom. The volume is 27.6 A^3/atom. The value obtained for the final energy is -19.0 eV for the cell shown.



3.
Entry from the Alexandria database: an optimized crystal structure of Sr8In2Si (PBE).

Unit cell a=5.856 b=7.866 c=10.531 alpha=111.93 beta=106.14 gamma=90.00
Positions (direct):
In 0.822 0.322 0.643
In 0.178 0.678 0.357
Sr 0.000 0.754 0.000
Sr 0.000 0.246 0.000
Sr 0.797 0.797 0.594
Sr 0.630 0.869 0.259
Sr 0.630 0.390 0.259
Sr 0.203 0.203 0.406
Sr 0.370 0.610 0.741
Sr 0.370 0.131 0.741
Si 0.500 0.000 0.000

## Properties
The uncorrected formation energy comes out at -195 meV/atom. The volume is 39.0 A^3/atom. The value obtained for the final energy is -26.5 eV for the cell shown.



4.
Entry from the Alexandria database: an optimized crystal structure of Sr2InSi (PBE).

Unit cell a=5.061 b=5.061 c=7.805 alpha=80.40 beta=80.40 gamma=44.24
Positions (direct):
Si 0.250 0.250 0.250
Sr 0.988 0.988 0.032
Sr 0.512 0.512 0.468
In 0.750 0.750 0.750

## Properties
The uncorrected formation energy comes out at -94 meV/atom. The volume is 34.3 A^3/atom. The value obtained for the final energy is -11.9 eV for the cell shown.



5.
Entry from the Alexandria database: an optimized crystal structure of Sr2InSi (PBE).

Unit cell a=6.508 b=6.508 c=6.508 alpha=142.67 beta=132.75 gamma=61.71
Positions (direct):
Sr 0.262 0.762 0.500
Sr 0.974 0.974 0.000
In 0.553 0.553 0.000
Si 0.710 0.210 0.500

## Properties
The uncorrected formation energy comes out at -281 meV/atom. The volume is 30.4 A^3/atom. The value obtained for the final energy is -12.6 eV for the cell shown.



6.
Entry from the Alexandria database: an optimized crystal structure of SrInSi3 (PBE).

Unit cell a=5.204 b=5.204 c=5.204 alpha=90.00 beta=90.00 gamma=90.00
Positions (direct):
In 0.000 0.000 0.000
Si 0.500 0.000 0.000
Si 0.000 0.500 0.000
Si 0.000 0.000 0.500
Sr 0.500 0.500 0.500

## Properties
The uncorrected formation energy comes out at 679 meV/atom. The volume is 28.2 A^3/atom. The value obtained for the final energy is -17.3 eV for the cell shown. For the polymorph energy (0 for the lowest one), the calculation gives 0.00 kcal/mol of atoms.



7.
Entry from the Alexandria database: an optimized crystal structure of Sr2InSi (PBE).

Unit cell a=5.597 b=5.597 c=5.597 alpha=60.00 beta=60.00 gamma=60.00
Positions (direct):
Sr 0.000 0.000 0.000
Sr 0.250 0.250 0.250
Si 0.750 0.750 0.750
In 0.500 0.500 0.500

## Properties
The uncorrected formation energy comes out at 99 meV/atom. The volume is 31.0 A^3/atom. The value obtained for the final energy is -11.1 eV for the cell shown.



8.
Entry from the Alexandria database: an optimized crystal structure of Sr4InSi (PBE).

Unit cell a=6.556 b=8.908 c=8.908 alpha=113.24 beta=100.57 gamma=100.57
Positions (direct):
Sr 0.444 0.715 0.058
Sr 0.556 0.285 0.942
Sr 0.944 0.058 0.715
Sr 0.056 0.942 0.285
Sr 0.862 0.635 0.779
Sr 0.138 0.365 0.221
Sr 0.638 0.221 0.365
Sr 0.362 0.779 0.635
Si 0.250 0.998 0.002
Si 0.750 0.002 0.998
In 0.250 0.368 0.632
In 0.750 0.632 0.368

## Properties
The uncorrected formation energy comes out at -304 meV/atom. The volume is 37.5 A^3/atom. The value obtained for the final energy is -33.4 eV for the cell shown. For the polymorph energy (0 for the lowest one), the calculation gives 0.00 kcal/mol of atoms.



9.
Entry from the Alexandria database: an optimized crystal structure of Sr4In5Si2 (PBE).

Unit cell a=4.846 b=7.705 c=9.005 alpha=89.15 beta=90.00 gamma=90.00
Positions (direct):
Si 0.000 0.932 0.381
Si 0.000 0.068 0.619
In 0.000 0.500 0.000
In 0.000 0.428 0.652
In 0.000 0.129 0.125
In 0.000 0.572 0.348
In 0.000 0.871 0.875
Sr 0.500 0.762 0.606
Sr 0.500 0.238 0.394
Sr 0.500 0.789 0.147
Sr 0.500 0.211 0.853

## Properties
The uncorrected formation energy comes out at -352 meV/atom. The volume is 30.6 A^3/atom. The value obtained for the final energy is -35.1 eV for the cell shown.



10.
Entry from the Alexandria database: an optimized crystal structure of SrIn2Si2 (PBE).

Unit cell a=4.523 b=4.523 c=6.877 alpha=70.80 beta=70.80 gamma=90.00
Positions (direct):
Si 0.598 0.598 0.805
Si 0.402 0.402 0.195
In 0.250 0.750 0.500
In 0.750 0.250 0.500
Sr 0.000 0.000 0.000

## Properties
The uncorrected formation energy comes out at -86 meV/atom. The volume is 24.9 A^3/atom. The value obtained for the final energy is -18.4 eV for the cell shown.



11.
Entry from the Alexandria database: an optimized crystal structure of SrIn4Si (PBE).

Unit cell a=6.174 b=6.174 c=6.174 alpha=60.00 beta=60.00 gamma=60.00
Positions (direct):
In 0.376 0.376 0.376
In 0.376 0.872 0.376
In 0.872 0.376 0.376
In 0.376 0.376 0.872
Si 0.750 0.750 0.750
Sr 0.000 0.000 0.000

## Properties
The uncorrected formation energy comes out at 106 meV/atom. The volume is 27.7 A^3/atom. The value obtained for the final energy is -17.4 eV for the cell shown.



12.
Entry from the Alexandria database: an optimized crystal structure of SrInSi3 (PBE).

Unit cell a=5.586 b=5.586 c=5.586 alpha=90.00 beta=90.00 gamma=90.00
Positions (direct):
In 0.500 0.500 0.500
Si 0.000 0.000 0.500
Si 0.000 0.500 0.000
Si 0.500 0.000 0.000
Sr 0.000 0.000 0.000

## Properties
The uncorrected formation energy comes out at 1478 meV/atom. The volume is 34.9 A^3/atom. The value obtained for the final energy is -13.3 eV for the cell shown. For the polymorph energy (0 for the lowest one), the calculation gives 18.43 kcal/mol of atoms.



> The highest final energy belongs to which entry?

number 7



> Among the records above, which one has the lowest final energy?

Sr4In5Si2